# 1
This record from the Alexandria database describes an optimized crystal structure of Tb2Tm3Ge4. The functional is PBE-GGA.

abc: 7.8708 7.7251 7.5361
angles: 90.00 112.01 90.00
Closest atoms and distances in Å follow each position.
Space group P2_1/c (No. 14)
Inequivalent atoms, fractional coordinates:
Tb 0.1975 0.1801 0.0613 (multiplicity 4)  5 Ge 2.96-3.21
Tm 0.2394 0.6629 0.2302 (multiplicity 4)  6 Ge 2.83-2.98
Tm 0.5000 0.0000 0.5000 (multiplicity 2)  6 Ge 2.98-3.03
Ge 0.0870 0.5370 0.8265 (multiplicity 4)  4 Tm 2.83-3.03, 2 Tb 2.98-3.14
Ge 0.4912 0.1330 0.8682 (multiplicity 4)  1 Ge 2.83, 5 Tm 2.95-3.00, 1 Tb 2.96

Results
* formation energy: -20.22 kcal/mol of atoms
* D(E_F): 4.7 states/eV/f.u.
* total magnetic moment: 0.0 Bohr magnetons per cell

# 2
This record from the Alexandria database describes an optimized crystal structure of TbTmGe. The functional is PBE-GGA.

abc: 13.5312 4.2847 5.8662
angles: 90.00 90.00 90.00
Closest atoms and distances in Å follow each position.
Space group Pnma (No. 62)
Inequivalent atoms, fractional coordinates:
Tb 0.2056 0.2500 0.0337 (multiplicity 4)  4 Ge 2.91-3.05
Tm 0.0345 0.7500 0.7353 (multiplicity 4)  3 Ge 2.89-2.95
Ge 0.1488 0.2500 0.5375 (multiplicity 4)  3 Tm 2.89-2.95, 4 Tb 2.91-3.05

Results
* formation energy: -11.57 kcal/mol of atoms
* D(E_F): 2.6 states/eV/f.u.
* total magnetic moment: 0.0 Bohr magnetons per cell